VASP calculation (PBE) on a relaxed HfB4Os crystal.

POSCAR file:
```
HfB4Os
1.0
-1.5526 2.6263 3.4392
1.5526 -2.6263 3.4392
1.5526 2.6263 -3.4392
B Os Hf
4 1 1
direct
0.4157 0.7447 0.6710
0.5843 0.2553 0.3290
0.9263 0.2553 0.6710
0.0737 0.7447 0.3290
0.5000 0.5000 0.0000
0.0000 0.0000 0.0000
```

Properties
Calculated volume   56 Å³ per cell
Size of the total moment   0.000 μB/atom
Symmetry   Immm
E above lowest polymorph   0.2264 eV/atom


VASP calculation (PBE) on a relaxed PrMgFe crystal.

POSCAR file:
```
PrMgFe
1.0
-4.2127 -1.9815 0.6899
-3.7553 2.6989 0.8736
-3.3758 0.4574 -3.2472
Fe Pr Mg
1 1 1
direct
0.0000 0.0000 0.0000
0.7500 0.7500 0.7500
0.2500 0.2500 0.2500
```

Properties
Calculated volume   74 Å³ per cell
Size of the total moment   0.499 μB/atom
Total DFT energy (no corrections)   -4.447 eV/atom
Symmetry   F-43m


VASP calculation (PBE) on a relaxed In2MoAs crystal.

POSCAR file:
```
In2MoAs
1.0
0.0000 3.4155 3.4155
3.4155 0.0000 3.4155
3.4155 3.4155 0.0000
In Mo As
2 1 1
direct
0.7500 0.7500 0.7500
0.5000 0.5000 0.5000
0.2500 0.2500 0.2500
0.0000 0.0000 0.0000
```

Properties
Calculated volume   80 Å³ per cell
Size of the total moment   0.512 μB/atom
Total DFT energy (no corrections)   -4.631 eV/atom
Symmetry   F-43m


VASP calculation (PBE) on a relaxed Dy3Sc3Bi2Os crystal.

POSCAR file:
```
Dy3Sc3Bi2Os
1.0
8.1529 0.0000 0.0000
-4.0764 7.0606 0.0000
0.0000 0.0000 4.0558
Sc Dy Bi Os
3 3 2 1
direct
0.6161 0.6161 0.0000
0.3839 0.0000 0.0000
0.0000 0.3839 0.0000
0.0000 0.7589 0.5000
0.2411 0.2411 0.5000
0.7589 0.0000 0.5000
0.3333 0.6667 0.5000
0.6667 0.3333 0.5000
0.0000 0.0000 0.0000
```

Properties
Calculated volume   233 Å³ per cell
Size of the total moment   0.024 μB/atom
Symmetry   P-62m
E above lowest polymorph   0.1736 eV/atom